(1)
The following is a PBE-GGA calculation of a relaxed structure of Sr2LiPtO6, from the Alexandria database.

Results
- Total energy: -5.710 eV per atom
- Magnetization: 0.0 μB per formula unit

Unit cell a=5.652 b=5.614 c=9.769 alpha=90.00 beta=125.26 gamma=90.00
Space group P2_1/c (No. 14)
One atom of each set of equivalent atoms:
Sr  0.249  0.022  0.251 (multiplicity 4)
Li  0.500  0.000  0.000 (multiplicity 2)
Pt  0.000  0.000  0.500 (multiplicity 2)
O  0.189  0.228  0.976 (multiplicity 4)
O  0.244  0.716  0.975 (multiplicity 4)
O  0.290  0.004  0.743 (multiplicity 4)

---

(2)
The following is a PBE-GGA calculation of a relaxed structure of Sr2LiPtO4, from the Alexandria database.

Results
- Total energy: -5.480 eV per atom
- Magnetization: 0.0 μB per formula unit

Unit cell a=4.916 b=12.064 c=17.690 alpha=90.00 beta=90.00 gamma=90.00
Space group Fddd (No. 70, origin choice 2)
One atom of each set of equivalent atoms:
Sr  0.125  0.125  0.304 (multiplicity 16)
Li  0.125  0.125  0.625 (multiplicity 8)
Pt  0.125  0.125  0.125 (multiplicity 8)
O  0.118  0.000  0.841 (multiplicity 32)

---

(3)
The following is a PBE-GGA calculation of a relaxed structure of Sr2LiPtO, from the Alexandria database.

Results
- Total energy: -4.646 eV per atom
- Energy relative to the lowest polymorph listed for this composition: 0 kJ/mol of formula units
- Magnetization: 0.0 μB per formula unit

Unit cell a=5.086 b=5.086 c=3.971 alpha=90.00 beta=90.00 gamma=90.00
Space group P4/mmm (No. 123)
One atom of each set of equivalent atoms:
Sr  0.000  0.500  0.000 (multiplicity 2)
Li  0.000  0.000  0.500 (multiplicity 1)
Pt  0.500  0.500  0.500 (multiplicity 1)
O  0.000  0.000  0.000 (multiplicity 1)

---

Question: total energy of number 2 (Sr2LiPtO4)?
Answer: -5.480 eV per atom